No. 1
# LaZrAs3, relaxed, DFT GGA-PBE
data_LaZrAs3
_chemical_formula_sum 'La1 Zr1 As3'
_symmetry_space_group_name_H-M 'P 1'
_symmetry_Int_Tables_number 1
_cell_length_a 5.148
_cell_length_b 5.148
_cell_length_c 5.148
_cell_angle_alpha 90.00
_cell_angle_beta 90.00
_cell_angle_gamma 90.00
loop_
_symmetry_equiv_pos_as_xyz
'x,y,z'
loop_
_atom_site_label
_atom_site_fract_x
_atom_site_fract_y
_atom_site_fract_z
_atom_site_occupancy
As1 0.000 0.500 0.000 1
As2 0.500 0.000 0.000 1
As3 0.000 0.000 0.500 1
La1 0.500 0.500 0.500 1
Zr1 0.000 0.000 0.000 1
# E_form (eV/f.u.): -2.97
# E_tot (eV per atom): -6.08
# Space-group type: Pm-3m, No. 221

No. 2
# La2Zr2As, relaxed, DFT GGA-PBE
data_La2Zr2As
_chemical_formula_sum 'La2 Zr2 As1'
_symmetry_space_group_name_H-M 'P 1'
_symmetry_Int_Tables_number 1
_cell_length_a 10.089
_cell_length_b 10.089
_cell_length_c 10.089
_cell_angle_alpha 157.67
_cell_angle_beta 157.67
_cell_angle_gamma 31.79
loop_
_symmetry_equiv_pos_as_xyz
'x,y,z'
loop_
_atom_site_label
_atom_site_fract_x
_atom_site_fract_y
_atom_site_fract_z
_atom_site_occupancy
As1 0.000 0.000 0.000 1
La1 0.415 0.415 0.000 1
La2 0.585 0.585 0.000 1
Zr1 0.250 0.750 0.500 1
Zr2 0.750 0.250 0.500 1
# E_form (eV/f.u.): -0.59
# E_tot (eV per atom): -6.44
# Space-group type: I4/mmm, No. 139

No. 3
# LaZrAs3, relaxed, DFT GGA-PBE
data_LaZrAs3
_chemical_formula_sum 'La1 Zr1 As3'
_symmetry_space_group_name_H-M 'P 1'
_symmetry_Int_Tables_number 1
_cell_length_a 5.395
_cell_length_b 5.395
_cell_length_c 5.395
_cell_angle_alpha 90.00
_cell_angle_beta 90.00
_cell_angle_gamma 90.00
loop_
_symmetry_equiv_pos_as_xyz
'x,y,z'
loop_
_atom_site_label
_atom_site_fract_x
_atom_site_fract_y
_atom_site_fract_z
_atom_site_occupancy
As1 0.500 0.000 0.000 1
As2 0.000 0.000 0.500 1
As3 0.000 0.500 0.000 1
La1 0.000 0.000 0.000 1
Zr1 0.500 0.500 0.500 1
# E_form (eV/f.u.): 3.66
# E_tot (eV per atom): -4.75
# Space-group type: Pm-3m, No. 221